# 1
Compound: Pm2YSn2Hg2
Source: the Alexandria database
Functional: GGA-PBE
Structure: optimized geometry

Lattice parameters (Å, degrees): 4.9879 4.9879 9.6005 74.94 74.94 60.00
With the nearest neighbours (Å) after each atom.
Positions (direct):
Pm (0.1298, 0.1298, 0.6105)  3 Hg 3.04
Pm (0.8702, 0.8702, 0.3895)  3 Hg 3.04
Y (0.0000, 0.0000, 0.0000)  6 Sn 3.31, 2 Pm 3.57
Sn (0.7264, 0.7264, 0.8208)  3 Hg 3.03, 3 Y 3.31
Sn (0.2736, 0.2736, 0.1792)  3 Hg 3.03, 3 Y 3.31
Hg (0.5727, 0.5727, 0.2818)  3 Sn 3.03, 3 Pm 3.04
Hg (0.4273, 0.4273, 0.7182)  3 Sn 3.03, 3 Pm 3.04

## Properties
The calculation puts the spin magnetization at 0.00 μB per cell. As for the volume: 197.3 Å³ per cell. As for the space-group type: R-3m, No. 166. Its formation enthalpy at 0 K is -0.33 eV per atom.

# 2
Compound: PmYSnHg
Source: the Alexandria database
Functional: GGA-PBE
Structure: optimized geometry

Lattice parameters (Å, degrees): 5.3545 5.3545 5.3545 60.00 60.00 60.00
With the nearest neighbours (Å) after each atom.
Positions (direct):
Y (0.7500, 0.7500, 0.7500)  4 Hg 3.28, 4 Sn 3.28
Hg (0.5000, 0.5000, 0.5000)  4 Y 3.28, 4 Pm 3.28
Sn (0.0000, 0.0000, 0.0000)  4 Pm 3.28, 4 Y 3.28
Pm (0.2500, 0.2500, 0.2500)  4 Sn 3.28, 4 Hg 3.28

## Properties
Its offset from the most stable computed form is 0 meV/atom. The calculation puts the spin magnetization at 0.00 μB per cell. As for the volume: 108.6 Å³ per cell. As for the space-group type: F-43m, No. 216. Its formation enthalpy at 0 K is -0.60 eV per atom.

# 3
Compound: PmZnSnHg
Source: the Alexandria database
Functional: GGA-PBE
Structure: optimized geometry

Lattice parameters (Å, degrees): 5.1607 5.1607 5.1607 60.00 60.00 60.00
With the nearest neighbours (Å) after each atom.
Positions (direct):
Zn (0.5000, 0.5000, 0.5000)  4 Pm 3.16, 4 Sn 3.16
Hg (0.0000, 0.0000, 0.0000)  4 Sn 3.16, 4 Pm 3.16
Sn (0.2500, 0.2500, 0.2500)  4 Zn 3.16, 4 Hg 3.16
Pm (0.7500, 0.7500, 0.7500)  4 Hg 3.16, 4 Zn 3.16

## Properties
The calculation puts the spin magnetization at 0.00 μB per cell. As for the volume: 97.2 Å³ per cell. As for the space-group type: F-43m, No. 216. Its formation enthalpy at 0 K is -0.27 eV per atom.

# 4
Compound: PmZrSnHg
Source: the Alexandria database
Functional: GGA-PBE
Structure: optimized geometry

Lattice parameters (Å, degrees): 5.2084 5.2084 5.2084 60.00 60.00 60.00
With the nearest neighbours (Å) after each atom.
Positions (direct):
Zr (0.5000, 0.5000, 0.5000)  4 Sn 3.19, 4 Hg 3.19
Hg (0.7500, 0.7500, 0.7500)  4 Zr 3.19, 4 Pm 3.19
Sn (0.2500, 0.2500, 0.2500)  4 Zr 3.19, 4 Pm 3.19
Pm (0.0000, 0.0000, 0.0000)  4 Hg 3.19, 4 Sn 3.19

## Properties
The calculation puts the spin magnetization at 0.56 μB per cell. As for the volume: 99.9 Å³ per cell. As for the space-group type: F-43m, No. 216. Its formation enthalpy at 0 K is -0.35 eV per atom.

# 5
Compound: SrPm3Hg2
Source: the Alexandria database
Functional: GGA-PBE
Structure: optimized geometry

Lattice parameters (Å, degrees): 5.3044 7.5351 9.5266 90.00 90.00 90.00
With the nearest neighbours (Å) after each atom.
Positions (direct):
Sr (0.5000, 0.5123, 0.5609)  3 Hg 3.29-3.43
Sr (0.5000, 0.0123, 0.4391)  3 Hg 3.29-3.43
Pm (0.0000, 0.4883, 0.9383)  3 Hg 3.26-3.41, 1 Pm 3.64
Pm (0.0000, 0.9883, 0.0617)  3 Hg 3.26-3.41, 1 Pm 3.64
Pm (0.5000, 0.6611, 0.1654)  4 Hg 3.07-3.23
Pm (0.5000, 0.1611, 0.8346)  4 Hg 3.07-3.23
Pm (0.0000, 0.3394, 0.3238)  4 Hg 3.09-3.22
Pm (0.0000, 0.8394, 0.6762)  4 Hg 3.09-3.22
Hg (0.5000, 0.7504, 0.8505)  6 Pm 3.07-3.41, 1 Sr 3.29
Hg (0.5000, 0.2504, 0.1495)  6 Pm 3.07-3.41, 1 Sr 3.29
Hg (0.0000, 0.2485, 0.6541)  5 Pm 3.09-3.26, 2 Sr 3.43
Hg (0.0000, 0.7485, 0.3459)  5 Pm 3.09-3.26, 2 Sr 3.43

## Properties
Its offset from the most stable computed form is 0 meV/atom. The calculation puts the spin magnetization at 0.00 μB per cell. As for the volume: 380.8 Å³ per cell. As for the space-group type: Pmc2_1, No. 26. Its formation enthalpy at 0 K is -0.31 eV per atom.

# 6
Compound: Sr2PmHg
Source: the Alexandria database
Functional: GGA-PBE
Structure: optimized geometry

Lattice parameters (Å, degrees): 3.8515 3.8515 10.0935 90.00 90.00 90.00
With the nearest neighbours (Å) after each atom.
Positions (direct):
Sr (0.0000, 0.0000, 0.7938)  4 Hg 3.43
Sr (0.0000, 0.0000, 0.2062)  4 Hg 3.43
Hg (0.5000, 0.5000, 0.0000)  8 Sr 3.43
Pm (0.5000, 0.5000, 0.5000)  4 Pm 3.85, 8 Sr 4.03

## Properties
Its offset from the most stable computed form is 0 meV/atom. The calculation puts the spin magnetization at 0.00 μB per cell. As for the volume: 149.7 Å³ per cell. As for the space-group type: P4/mmm, No. 123. Its formation enthalpy at 0 K is -0.14 eV per atom.

# 7
Compound: SrPm3Hg2
Source: the Alexandria database
Functional: GGA-PBE
Structure: optimized geometry

Lattice parameters (Å, degrees): 5.4895 9.7178 9.2972 123.75 90.00 106.41
With the nearest neighbours (Å) after each atom.
Positions (direct):
Sr (0.8683, 0.7366, 0.9330)  5 Hg 3.42-3.54, 2 Pm 3.73
Sr (0.1317, 0.2634, 0.0670)  5 Hg 3.42-3.54, 2 Pm 3.73
Pm (0.3052, 0.6104, 0.6079)  2 Hg 3.03-3.22, 2 Pm 3.32
Pm (0.9331, 0.8662, 0.5817)  3 Hg 3.28-3.41, 3 Pm 3.59-3.60
Pm (0.6175, 0.2351, 0.7137)  3 Hg 3.01-3.21
Pm (0.3825, 0.7649, 0.2863)  3 Hg 3.01-3.21
Pm (0.0669, 0.1338, 0.4183)  3 Hg 3.28-3.41, 3 Pm 3.59-3.60
Pm (0.6948, 0.3896, 0.3921)  2 Hg 3.03-3.22, 2 Pm 3.32
Hg (0.5044, 0.0087, 0.8483)  1 Hg 2.92, 2 Pm 3.01-3.03
Hg (0.4956, 0.9913, 0.1517)  1 Hg 2.92, 2 Pm 3.01-3.03
Hg (0.7726, 0.5452, 0.1601)  5 Pm 3.21-3.42, 3 Sr 3.46-3.54
Hg (0.2274, 0.4548, 0.8399)  5 Pm 3.21-3.42, 3 Sr 3.46-3.54

## Properties
Its offset from the most stable computed form is 65 meV/atom. The calculation puts the spin magnetization at 0.00 μB per cell. As for the volume: 387.9 Å³ per cell. As for the space-group type: C2/m, No. 12. Its formation enthalpy at 0 K is -0.25 eV per atom.

# 8
Compound: SrPm2Hg4
Source: the Alexandria database
Functional: GGA-PBE
Structure: optimized geometry

Lattice parameters (Å, degrees): 5.2953 5.2953 9.7312 74.21 74.21 60.00
With the nearest neighbours (Å) after each atom.
Positions (direct):
Sr (0.0000, 0.0000, 0.0000)  8 Hg 3.29-3.62
Pm (0.7687, 0.7687, 0.6940)  7 Hg 3.09-3.18
Pm (0.2313, 0.2313, 0.3060)  7 Hg 3.09-3.18
Hg (0.8813, 0.8813, 0.3561)  4 Pm 3.09-3.12, 1 Sr 3.29, 3 Hg 3.34
Hg (0.1187, 0.1187, 0.6439)  4 Pm 3.09-3.12, 1 Sr 3.29, 3 Hg 3.34
Hg (0.5966, 0.5966, 0.2102)  3 Pm 3.18, 3 Hg 3.34
Hg (0.4034, 0.4034, 0.7898)  3 Pm 3.18, 3 Hg 3.34

## Properties
The calculation puts the spin magnetization at 0.00 μB per cell. As for the volume: 224.3 Å³ per cell. As for the space-group type: R-3m, No. 166. Its formation enthalpy at 0 K is -0.32 eV per atom.